1.
ScMnSe: relaxed, PBE-GGA.

Cell and atoms, written as POSCAR:
```
ScMnSe
1.0
4.521 0.000 0.000
2.260 3.915 0.000
2.260 1.305 3.691
Sc Se Mn
1 1 1
Cartesian
6.781 3.915 2.768
0.000 0.000 0.000
4.521 2.610 1.846
```

Total energy = -18.91 eV per formula unit
Formation energy from raw total energies = 8 kJ/mol of formula units
Energy relative to the lowest polymorph listed for this composition = 0.547 eV/atom

2.
Sc4GaCu2Hg: relaxed, PBE-GGA.

Cell and atoms, written as POSCAR:
```
Sc4GaCu2Hg
1.0
-1.595 1.053 -4.349
2.863 -0.480 -3.761
-1.982 -7.143 -3.597
Sc Ga Cu Hg
4 1 2 1
Cartesian
0.524 -0.598 -5.526
-1.238 -5.972 -6.181
-1.061 -4.333 -3.255
0.346 -2.237 -8.453
-0.357 -3.285 -5.854
-0.528 -4.904 -8.777
-0.186 -1.666 -2.930
0.000 0.000 0.000
```

Total energy = -40.00 eV per formula unit

3.
Al2TcBr: relaxed, PBE-GGA.

Cell and atoms, written as POSCAR:
```
Al2TcBr
1.0
-3.851 5.586 1.159
-4.251 2.145 4.970
5.992 -2.263 -2.521
Al Br Tc
2 1 1
Cartesian
-0.709 0.677 0.537
-0.823 3.468 0.751
-3.442 3.284 2.603
-1.188 1.905 2.781
```

Total energy = -18.98 eV per formula unit
Formation energy from raw total energies = 52 kJ/mol of formula units
Energy relative to the lowest polymorph listed for this composition = 0.361 eV/atom